(1)
# SCAN MnRhW2, PBEsol geometry
data_MnRhW2
_space_group_name_H-M_alt 'P 1'
_space_group_IT_number 1
_cell_length_a 3.120
_cell_length_b 3.120
_cell_length_c 5.863
_cell_angle_alpha 90.00
_cell_angle_beta 90.00
_cell_angle_gamma 90.00
loop_
_space_group_symop_operation_xyz
'x,y,z'
loop_
_atom_site_label
_atom_site_fract_x
_atom_site_fract_y
_atom_site_fract_z
_atom_site_occupancy
Mn1 0.000 0.000 0.491 1
Rh1 0.500 0.500 0.744 1
W1 0.000 0.000 0.997 1
W2 0.500 0.500 0.267 1
# D(E_F) = 3.18 states/eV/f.u.
# Final energy = -47.86 eV/atom
# Space group = P4mm
# Excess energy over the best structure of this formula in the dataset = 0 meV per atom

***

(2)
# SCAN Mn4RhW, PBEsol geometry
data_Mn4RhW
_space_group_name_H-M_alt 'P 1'
_space_group_IT_number 1
_cell_length_a 4.632
_cell_length_b 4.632
_cell_length_c 4.632
_cell_angle_alpha 60.00
_cell_angle_beta 60.00
_cell_angle_gamma 60.00
loop_
_space_group_symop_operation_xyz
'x,y,z'
loop_
_atom_site_label
_atom_site_fract_x
_atom_site_fract_y
_atom_site_fract_z
_atom_site_occupancy
Mn1 0.377 0.377 0.377 1
Mn2 0.377 0.377 0.868 1
Mn3 0.868 0.377 0.377 1
Mn4 0.377 0.868 0.377 1
Rh1 0.750 0.750 0.750 1
W1 0.000 0.000 0.000 1
# D(E_F) = 7.26 states/eV/f.u.
# Final energy = -29.37 eV/atom
# Space group = F-43m

***

(3)
# SCAN MnRhW3, PBEsol geometry
data_MnRhW3
_space_group_name_H-M_alt 'P 1'
_space_group_IT_number 1
_cell_length_a 4.364
_cell_length_b 4.364
_cell_length_c 4.364
_cell_angle_alpha 90.00
_cell_angle_beta 90.00
_cell_angle_gamma 90.00
loop_
_space_group_symop_operation_xyz
'x,y,z'
loop_
_atom_site_label
_atom_site_fract_x
_atom_site_fract_y
_atom_site_fract_z
_atom_site_occupancy
Mn1 0.000 0.000 0.000 1
Rh1 0.500 0.500 0.500 1
W1 0.000 0.500 0.000 1
W2 0.000 0.000 0.500 1
W3 0.500 0.000 0.000 1
# D(E_F) = 4.59 states/eV/f.u.
# Final energy = -50.79 eV/atom
# Space group = Pm-3m

***

(4)
# SCAN MnRhW2, PBEsol geometry
data_MnRhW2
_space_group_name_H-M_alt 'P 1'
_space_group_IT_number 1
_cell_length_a 2.684
_cell_length_b 3.822
_cell_length_c 5.443
_cell_angle_alpha 90.00
_cell_angle_beta 90.00
_cell_angle_gamma 90.00
loop_
_space_group_symop_operation_xyz
'x,y,z'
loop_
_atom_site_label
_atom_site_fract_x
_atom_site_fract_y
_atom_site_fract_z
_atom_site_occupancy
Mn1 0.500 0.500 0.000 1
Rh1 0.500 0.500 0.500 1
W1 0.000 0.000 0.756 1
W2 0.000 0.000 0.244 1
# D(E_F) = 2.98 states/eV/f.u.
# Final energy = -47.81 eV/atom
# Space group = Pmmm
# Excess energy over the best structure of this formula in the dataset = 55 meV per atom

***

(5)
# SCAN YMnRh2, PBEsol geometry
data_YMnRh2
_space_group_name_H-M_alt 'P 1'
_space_group_IT_number 1
_cell_length_a 3.130
_cell_length_b 3.130
_cell_length_c 8.170
_cell_angle_alpha 78.96
_cell_angle_beta 78.96
_cell_angle_gamma 60.00
loop_
_space_group_symop_operation_xyz
'x,y,z'
loop_
_atom_site_label
_atom_site_fract_x
_atom_site_fract_y
_atom_site_fract_z
_atom_site_occupancy
Mn1 0.000 0.000 0.000 1
Rh1 0.255 0.255 0.235 1
Rh2 0.745 0.745 0.765 1
Y1 0.500 0.500 0.500 1
# D(E_F) = 2.76 states/eV/f.u.
# Final energy = -28.62 eV/atom
# Space group = R-3m

***

(6)
# SCAN YMnRh2, PBEsol geometry
data_YMnRh2
_space_group_name_H-M_alt 'P 1'
_space_group_IT_number 1
_cell_length_a 3.867
_cell_length_b 3.867
_cell_length_c 5.131
_cell_angle_alpha 112.14
_cell_angle_beta 112.14
_cell_angle_gamma 90.00
loop_
_space_group_symop_operation_xyz
'x,y,z'
loop_
_atom_site_label
_atom_site_fract_x
_atom_site_fract_y
_atom_site_fract_z
_atom_site_occupancy
Mn1 0.250 0.750 0.500 1
Rh1 0.000 0.000 0.000 1
Rh2 0.750 0.250 0.500 1
Y1 0.500 0.500 0.000 1
# D(E_F) = 4.50 states/eV/f.u.
# Final energy = -28.89 eV/atom
# Space group = I-4m2

***

(7)
# SCAN MnZn2Rh, PBEsol geometry
data_MnZn2Rh
_space_group_name_H-M_alt 'P 1'
_space_group_IT_number 1
_cell_length_a 2.892
_cell_length_b 4.326
_cell_length_c 4.326
_cell_angle_alpha 102.36
_cell_angle_beta 90.00
_cell_angle_gamma 90.00
loop_
_space_group_symop_operation_xyz
'x,y,z'
loop_
_atom_site_label
_atom_site_fract_x
_atom_site_fract_y
_atom_site_fract_z
_atom_site_occupancy
Zn1 0.000 0.500 0.000 1
Zn2 0.000 0.000 0.500 1
Mn1 0.500 0.000 0.000 1
Rh1 0.500 0.500 0.500 1
# D(E_F) = 1.26 states/eV/f.u.
# Final energy = -20.11 eV/atom
# Space group = Cmmm

***

(8)
# SCAN MnZn2Rh, PBEsol geometry
data_MnZn2Rh
_space_group_name_H-M_alt 'P 1'
_space_group_IT_number 1
_cell_length_a 2.707
_cell_length_b 2.707
_cell_length_c 8.485
_cell_angle_alpha 80.82
_cell_angle_beta 80.82
_cell_angle_gamma 60.00
loop_
_space_group_symop_operation_xyz
'x,y,z'
loop_
_atom_site_label
_atom_site_fract_x
_atom_site_fract_y
_atom_site_fract_z
_atom_site_occupancy
Mn1 0.500 0.500 0.500 1
Rh1 0.000 0.000 0.000 1
Zn1 0.251 0.251 0.248 1
Zn2 0.749 0.749 0.752 1
# D(E_F) = 1.67 states/eV/f.u.
# Final energy = -19.94 eV/atom
# Space group = R-3m

***

(9)
# SCAN MnZn2Rh, PBEsol geometry
data_MnZn2Rh
_space_group_name_H-M_alt 'P 1'
_space_group_IT_number 1
_cell_length_a 3.035
_cell_length_b 3.040
_cell_length_c 5.662
_cell_angle_alpha 90.00
_cell_angle_beta 90.00
_cell_angle_gamma 90.00
loop_
_space_group_symop_operation_xyz
'x,y,z'
loop_
_atom_site_label
_atom_site_fract_x
_atom_site_fract_y
_atom_site_fract_z
_atom_site_occupancy
Zn1 0.000 0.000 0.748 1
Zn2 0.000 0.000 0.252 1
Mn1 0.500 0.500 0.000 1
Rh1 0.500 0.500 0.500 1
# D(E_F) = 2.07 states/eV/f.u.
# Final energy = -20.10 eV/atom
# Space group = P4/mmm

***

(10)
# SCAN MnZn2Rh, PBEsol geometry
data_MnZn2Rh
_space_group_name_H-M_alt 'P 1'
_space_group_IT_number 1
_cell_length_a 3.803
_cell_length_b 3.803
_cell_length_c 4.542
_cell_angle_alpha 114.75
_cell_angle_beta 114.75
_cell_angle_gamma 90.00
loop_
_space_group_symop_operation_xyz
'x,y,z'
loop_
_atom_site_label
_atom_site_fract_x
_atom_site_fract_y
_atom_site_fract_z
_atom_site_occupancy
Zn1 0.750 0.250 0.500 1
Zn2 0.250 0.750 0.500 1
Mn1 0.500 0.500 0.000 1
Rh1 0.000 0.000 0.000 1
# D(E_F) = 1.34 states/eV/f.u.
# Final energy = -20.21 eV/atom
# Space group = I4/mmm

***

(11)
# SCAN MnZn2Rh, PBEsol geometry
data_MnZn2Rh
_space_group_name_H-M_alt 'P 1'
_space_group_IT_number 1
_cell_length_a 3.747
_cell_length_b 3.747
_cell_length_c 4.613
_cell_angle_alpha 113.97
_cell_angle_beta 113.97
_cell_angle_gamma 90.00
loop_
_space_group_symop_operation_xyz
'x,y,z'
loop_
_atom_site_label
_atom_site_fract_x
_atom_site_fract_y
_atom_site_fract_z
_atom_site_occupancy
Zn1 0.000 0.000 0.000 1
Zn2 0.750 0.250 0.500 1
Mn1 0.500 0.500 0.000 1
Rh1 0.250 0.750 0.500 1
# D(E_F) = 1.28 states/eV/f.u.
# Final energy = -20.15 eV/atom
# Space group = I-4m2

***

(12)
# SCAN MnZn2Rh, PBEsol geometry
data_MnZn2Rh
_space_group_name_H-M_alt 'P 1'
_space_group_IT_number 1
_cell_length_a 3.721
_cell_length_b 3.776
_cell_length_c 3.776
_cell_angle_alpha 90.00
_cell_angle_beta 90.00
_cell_angle_gamma 90.00
loop_
_space_group_symop_operation_xyz
'x,y,z'
loop_
_atom_site_label
_atom_site_fract_x
_atom_site_fract_y
_atom_site_fract_z
_atom_site_occupancy
Zn1 0.000 0.000 0.500 1
Zn2 0.000 0.500 0.000 1
Mn1 0.500 0.500 0.500 1
Rh1 0.500 0.000 0.000 1
# D(E_F) = 1.86 states/eV/f.u.
# Final energy = -20.17 eV/atom
# Space group = P4/mmm

***

no.,energy relative to the elements (eV per atom)
1,-0.01
2,0.05
3,1.42
4,0.04
5,-0.21
6,-0.48
7,-0.35
8,-0.17
9,-0.34
10,-0.45
11,-0.38
12,-0.40